(1)
A relaxed structure of NpPa2Au. Source: the Alexandria database, functional PBE.

Values from the calculation:
- energy (eV per atom) = -8.199
- energy above the lowest structure with this stoichiometry (kJ/mol of formula units) = 274
- energy relative to the elements (kJ/mol of formula units) = 233

a b c (Å): 3.6206 3.6206 26.9025
angles (deg): 90.00 90.00 120.00
Last column: nearest neighbours and their distance in Å.
Space group R-3m (No. 166, hexagonal axes)
Symmetry-distinct sites (fractional):
Np: 0.0000 0.0000 0.0000 x3  6 Pa 2.66
Pa: 0.0000 0.0000 0.3943 x6  3 Np 2.66, 1 Au 2.84
Au: 0.0000 0.0000 0.5000 x3  2 Pa 2.84

***

(2)
A relaxed structure of NpPaAu2. Source: the Alexandria database, functional PBE.

Values from the calculation:
- energy (eV per atom) = -7.253
- energy above the lowest structure with this stoichiometry (kJ/mol of formula units) = 44
- energy relative to the elements (kJ/mol of formula units) = -2

a b c (Å): 3.0613 3.0613 31.6737
angles (deg): 90.00 90.00 120.00
Last column: nearest neighbours and their distance in Å.
Space group R-3m (No. 166, hexagonal axes)
Symmetry-distinct sites (fractional):
Np: 0.0000 0.0000 0.0000 x3  6 Np 3.06, 6 Au 3.18
Pa: 0.0000 0.0000 0.5000 x3  6 Pa 3.06, 6 Au 3.18
Au: 0.0000 0.0000 0.2500 x6  6 Au 3.06, 3 Pa 3.18, 3 Np 3.18

***

energy relative to the elements of number 1 (NpPa2Au)?
233 kJ/mol of formula units